[1]
LaCd2Pd2: PBEsol geometry, SCAN.

Cell and atoms, written as POSCAR:
```
LaCd2Pd2
1.0
-2.0360 2.0360 6.3901
2.0360 -2.0360 6.3901
2.0360 2.0360 -6.3901
La Cd Pd
1 2 2
direct
0.0000 0.0000 0.0000 La
0.2500 0.7500 0.5000 Cd
0.7500 0.2500 0.5000 Cd
0.3978 0.3978 0.0000 Pd
0.6022 0.6022 0.0000 Pd
```

Total energy (eV per atom): -34.519
Magnetic moment (μB per formula unit): 0.00
Energy of formation (kJ/mol of formula units): -300



[2]
La4CdPd: PBEsol geometry, SCAN.

Cell and atoms, written as POSCAR:
```
La4CdPd
1.0
0.0000 7.0642 7.0642
7.0642 0.0000 7.0642
7.0642 7.0642 0.0000
La Cd Pd
16 4 4
direct
0.1868 0.1868 0.8132 La
0.1868 0.8132 0.1868 La
0.1868 0.8132 0.8132 La
0.3991 0.3991 0.3991 La
0.3991 0.3991 0.8026 La
0.3991 0.8026 0.3991 La
0.5541 0.5541 0.9459 La
0.5541 0.9459 0.5541 La
0.5541 0.9459 0.9459 La
0.8026 0.3991 0.3991 La
0.8132 0.1868 0.1868 La
0.8132 0.1868 0.8132 La
0.8132 0.8132 0.1868 La
0.9459 0.5541 0.5541 La
0.9459 0.5541 0.9459 La
0.9459 0.9459 0.5541 La
0.1714 0.1714 0.1714 Cd
0.1714 0.1714 0.4857 Cd
0.1714 0.4857 0.1714 Cd
0.4857 0.1714 0.1714 Cd
0.1794 0.6069 0.6069 Pd
0.6069 0.1794 0.6069 Pd
0.6069 0.6069 0.1794 Pd
0.6069 0.6069 0.6069 Pd
```

Total energy (eV per atom): -39.756
Magnetic moment (μB per formula unit): 0.00
Energy of formation (kJ/mol of formula units): -283



[3]
SrLaCd2Pd: PBEsol geometry, SCAN.

Cell and atoms, written as POSCAR:
```
SrLaCd2Pd
1.0
5.4658 0.0000 0.0000
0.0000 5.4658 0.0000
0.0000 0.0000 5.9491
Sr La Cd Pd
1 1 2 1
direct
0.0000 0.0000 0.0000 Sr
0.0000 0.0000 0.5000 La
0.0000 0.5000 0.0000 Cd
0.5000 0.0000 0.0000 Cd
0.5000 0.5000 0.5000 Pd
```

Total energy (eV per atom): -30.593
Magnetic moment (μB per formula unit): 0.00
Energy of formation (kJ/mol of formula units): 581



[4]
LaY2CdPd: PBEsol geometry, SCAN.

Cell and atoms, written as POSCAR:
```
LaY2CdPd
1.0
5.5142 0.0000 0.0000
0.0000 5.5142 0.0000
0.0000 0.0000 4.9986
La Y Cd Pd
1 2 1 1
direct
0.0000 0.0000 0.0000 La
0.0000 0.5000 0.5000 Y
0.5000 0.0000 0.5000 Y
0.5000 0.5000 0.5000 Cd
0.5000 0.5000 0.0000 Pd
```

Total energy (eV per atom): -32.165
Magnetic moment (μB per formula unit): 1.56
Energy of formation (kJ/mol of formula units): 111



> Which formula does entry 4 have?

LaY2CdPd